[1]
A relaxed CePr8Sm4 crystal. Source: the Alexandria database, functional PBE.

Summary:
ΔE_f (eV per atom): 0.403
Calculated total energy (eV/atom): -4.45
Symmetry: R-3m (166)

Unit cell a=11.972 b=11.972 c=7.934 alpha=90.00 beta=138.98 gamma=120.00
Last column: magnetic moment on the atom in μB.
Atoms (fractional coordinates):
Sm: 0.000 0.000 0.000  0.02
Sm: 0.500 0.000 0.000  0.01
Sm: 0.500 0.500 0.000  0.01
Sm: 0.000 0.500 0.000  0.01
Pr: 0.505 0.752 0.257  0.04
Pr: 0.336 0.168 0.006  0.00
Pr: 0.495 0.248 0.743  0.04
Pr: 0.838 0.168 0.006  0.00
Pr: 0.664 0.832 0.994  0.00
Pr: 0.162 0.330 0.994  0.00
Pr: 0.838 0.670 0.006  0.00
Pr: 0.162 0.832 0.994  0.00
Ce: 0.000 0.500 0.500  0.55

=====

[2]
A relaxed SnHgCl2 crystal. Source: the Alexandria database, functional PBE.

Summary:
Energy relative to the elements, uncorrected (eV/atom): -0.697
Calculated total energy (eV/atom): -2.70
Relative energy among the computed polymorphs (meV per atom): 1
Symmetry: R-3m (166)

Unit cell a=11.123 b=11.123 c=11.123 alpha=22.00 beta=22.00 gamma=22.00
Atoms (fractional coordinates):
Hg: 0.000 0.000 0.000
Cl: 0.880 0.880 0.880
Cl: 0.120 0.120 0.120
Sn: 0.500 0.500 0.500

=====

[3]
A relaxed LaAlIn crystal. Source: the Alexandria database, functional PBE.

Summary:
ΔE_f (eV per atom): -0.298
Calculated total energy (eV/atom): -4.10
Symmetry: F-43m (216)

Unit cell a=6.964 b=6.964 c=6.964 alpha=90.00 beta=90.00 gamma=90.00
Atoms (fractional coordinates):
La: 0.500 0.500 0.500
La: 0.000 0.000 0.500
La: 0.500 0.000 0.000
La: 0.000 0.500 0.000
Al: 0.750 0.750 0.250
Al: 0.250 0.750 0.750
Al: 0.750 0.250 0.750
Al: 0.250 0.250 0.250
In: 0.500 0.500 0.000
In: 0.000 0.500 0.500
In: 0.500 0.000 0.500
In: 0.000 0.000 0.000

=====

[4]
A relaxed LaCdRe2 crystal. Source: the Alexandria database, functional PBE.

Summary:
ΔE_f (eV per atom): 0.741
Calculated total energy (eV/atom): -6.94
Symmetry: P2/m (10)

Unit cell a=5.034 b=3.105 c=5.413 alpha=87.09 beta=90.00 gamma=90.00
Atoms (fractional coordinates):
La: 0.500 0.750 0.750
Cd: 0.500 0.250 0.250
Re: 0.000 0.083 0.955
Re: 0.000 0.417 0.545